Entry 1:
# EuAlSnHg | Alexandria via LeMat-Bulk | GGA-PBE | relaxed
data_EuAlSnHg
_chemical_formula_sum 'Eu4 Al4 Sn4 Hg4'
_cell_length_a 7.4153
_cell_length_b 7.4153
_cell_length_c 7.4153
_cell_angle_alpha 90.00
_cell_angle_beta 90.00
_cell_angle_gamma 90.00
_space_group_name_H-M_alt 'F -4 3 m'
_space_group_IT_number 216
_space_group_name_Hall 'F -4 2 3'
loop_
_atom_site_label
_atom_site_fract_x
_atom_site_fract_y
_atom_site_fract_z
Eu1 0.0000 0.0000 0.0000
Al1 0.0000 0.0000 0.5000
Sn1 0.2500 0.2500 0.2500
Hg1 0.2500 0.2500 0.7500
# ΔE_f = -0.23 eV/atom
# calculated total energy = -4.811 eV per atom
# M_tot = 6.9 μB/f.u.
# theoretical density = 8.12 g cm⁻³

***

Entry 2:
# RbCO3 | Alexandria via LeMat-Bulk | GGA-PBE | relaxed
data_RbCO3
_chemical_formula_sum 'Rb1 C1 O3'
_cell_length_a 5.8580
_cell_length_b 5.8580
_cell_length_c 5.8580
_cell_angle_alpha 90.00
_cell_angle_beta 90.00
_cell_angle_gamma 90.00
_space_group_name_H-M_alt 'P m -3 m'
_space_group_IT_number 221
_space_group_name_Hall '-P 4 2 3'
loop_
_atom_site_label
_atom_site_fract_x
_atom_site_fract_y
_atom_site_fract_z
Rb1 0.0000 0.0000 0.0000
C1 0.5000 0.5000 0.5000
O1 0.0000 0.0000 0.5000
# ΔE_f (raw) = 2464 meV per atom
# calculated total energy = -2.549 eV per atom
# M_tot = 6.9 μB/f.u.
# theoretical density = 1.20 g cm⁻³

***

Entry 3:
# HgPtPb4 | Alexandria via LeMat-Bulk | GGA-PBE | relaxed
data_HgPtPb4
_chemical_formula_sum 'Hg4 Pt4 Pb16'
_cell_length_a 9.1219
_cell_length_b 13.5786
_cell_length_c 6.0727
_cell_angle_alpha 90.00
_cell_angle_beta 113.69
_cell_angle_gamma 90.00
_space_group_name_H-M_alt 'C 1 2/c 1'
_space_group_IT_number 15
loop_
_space_group_symop_operation_xyz
'x,y,z'
'-x,-y,-z'
'-x,y,-z+1/2'
'x,-y,z+1/2'
'x+1/2,y+1/2,z'
'-x+1/2,-y+1/2,-z'
'-x+1/2,y+1/2,-z+1/2'
'x+1/2,-y+1/2,z+1/2'
loop_
_atom_site_label
_atom_site_fract_x
_atom_site_fract_y
_atom_site_fract_z
Hg1 0.0000 0.1253 0.2500
Pt1 0.0000 0.4893 0.2500
Pb1 0.1199 0.3294 0.5858
Pb2 0.2204 0.0732 0.8416
# ΔE_f = -0.11 eV/atom
# calculated total energy = -3.635 eV per atom
# M_tot = 0.0 μB/f.u.
# theoretical density = 11.81 g cm⁻³

***

Entry 4:
# InBRu2Rh | Alexandria via LeMat-Bulk | GGA-PBE | relaxed
data_InBRu2Rh
_chemical_formula_sum 'In1 B1 Ru2 Rh1'
_cell_length_a 4.1533
_cell_length_b 4.1533
_cell_length_c 4.1253
_cell_angle_alpha 90.00
_cell_angle_beta 90.00
_cell_angle_gamma 90.00
_space_group_name_H-M_alt 'P 4/m m m'
_space_group_IT_number 123
_space_group_name_Hall '-P 4 2'
loop_
_atom_site_label
_atom_site_fract_x
_atom_site_fract_y
_atom_site_fract_z
In1 0.0000 0.0000 0.0000
B1 0.5000 0.5000 0.5000
Ru1 0.0000 0.5000 0.5000
Rh1 0.5000 0.5000 0.0000
# ΔE_f = -0.11 eV/atom
# calculated total energy = -7.175 eV per atom
# M_tot = 0.0 μB/f.u.
# theoretical density = 10.05 g cm⁻³